# 1
Material: Y2CrSbN
Method: DFT, GGA-PBE
State: optimized geometry

Density of states at the Fermi level = 3.34 states/eV/f.u.
ΔE_f (raw) = -0.7935 eV/atom
Space-group type = P4/mmm (123)

Lattice parameters (Å, degrees): 4.9897 4.9897 3.9587 90.00 90.00 90.00
Last column: nearest neighbours and their distance in Å.
Sites, in units of the cell vectors:
Y (0.0000, 0.5000, 0.0000)  2 N 2.49
Y (0.5000, 0.0000, 0.0000)  2 N 2.49
Cr (0.0000, 0.0000, 0.5000)  2 N 1.98
Sb (0.5000, 0.5000, 0.5000)  8 Y 3.18, 4 Cr 3.53
N (0.0000, 0.0000, 0.0000)  2 Cr 1.98

# 2
Material: ScSiI3
Method: DFT, GGA-PBE
State: optimized geometry

Distance to the lowest polymorph of the same formula = 289 meV/atom
Density of states at the Fermi level = 9.16 states/eV/f.u.
ΔE_f (raw) = 0.2536 eV/atom
Space-group type = Pm-3m (221)

Lattice parameters (Å, degrees): 5.6002 5.6002 5.6002 90.00 90.00 90.00
Last column: nearest neighbours and their distance in Å.
Sites, in units of the cell vectors:
Sc (0.0000, 0.0000, 0.0000)  12 I 3.96
Si (0.5000, 0.5000, 0.5000)  6 I 2.80
I (0.0000, 0.5000, 0.5000)  2 Si 2.80
I (0.5000, 0.0000, 0.5000)  2 Si 2.80
I (0.5000, 0.5000, 0.0000)  2 Si 2.80

# 3
Material: Ba3Pb3Au2
Method: DFT, GGA-PBE
State: optimized geometry

Energy relative to the elements = -4.54 eV/f.u.
Density of states at the Fermi level = 6.13 states/eV/f.u.
Space-group type = Cmcm (63)

Lattice parameters (Å, degrees): 6.6379 6.6379 17.4693 90.00 90.00 134.76
Last column: nearest neighbours and their distance in Å.
Sites, in units of the cell vectors:
Ba (0.0983, 0.9017, 0.6088)  4 Au 3.58-3.96, 7 Pb 3.58-3.94
Ba (0.0983, 0.9017, 0.8912)  4 Au 3.58-3.96, 7 Pb 3.58-3.94
Ba (0.3761, 0.6239, 0.7500)  5 Pb 3.58-3.77, 4 Au 3.66
Ba (0.6239, 0.3761, 0.2500)  5 Pb 3.58-3.77, 4 Au 3.66
Ba (0.9017, 0.0983, 0.1088)  4 Au 3.58-3.96, 7 Pb 3.58-3.94
Ba (0.9017, 0.0983, 0.3912)  4 Au 3.58-3.96, 7 Pb 3.58-3.94
Pb (0.3282, 0.6718, 0.2500)  2 Au 2.98
Pb (0.3772, 0.6228, 0.5342)  2 Au 2.99, 1 Pb 3.24
Pb (0.3772, 0.6228, 0.9658)  2 Au 2.99, 1 Pb 3.24
Pb (0.6228, 0.3772, 0.0342)  2 Au 2.99, 1 Pb 3.24
Pb (0.6228, 0.3772, 0.4658)  2 Au 2.99, 1 Pb 3.24
Pb (0.6718, 0.3282, 0.7500)  2 Au 2.98
Au (0.1935, 0.8065, 0.1078)  3 Pb 2.98-2.99
Au (0.1935, 0.8065, 0.3922)  3 Pb 2.98-2.99
Au (0.8065, 0.1935, 0.6078)  3 Pb 2.98-2.99
Au (0.8065, 0.1935, 0.8922)  3 Pb 2.98-2.99

# 4
Material: Ho3CuSb
Method: DFT, GGA-PBE
State: optimized geometry

Density of states at the Fermi level = 5.17 states/eV/f.u.
ΔE_f (raw) = -0.5104 eV/atom
Space-group type = C2/m (12)

Lattice parameters (Å, degrees): 7.9453 7.9453 8.4387 90.90 90.90 29.38
Last column: nearest neighbours and their distance in Å.
Sites, in units of the cell vectors:
Ho (0.0428, 0.0428, 0.2023)  1 Cu 3.21, 4 Sb 3.25-3.28
Ho (0.2519, 0.2519, 0.8000)  3 Cu 2.90-3.14, 3 Sb 3.10-3.16
Ho (0.3955, 0.3955, 0.4514)  3 Cu 2.76-2.86
Ho (0.6045, 0.6045, 0.5486)  3 Cu 2.76-2.86
Ho (0.7481, 0.7481, 0.2000)  3 Cu 2.90-3.14, 3 Sb 3.10-3.16
Ho (0.9572, 0.9572, 0.7978)  1 Cu 3.21, 4 Sb 3.25-3.28
Cu (0.2096, 0.2096, 0.4353)  2 Cu 2.60, 5 Ho 2.76-2.90
Cu (0.7904, 0.7904, 0.5647)  2 Cu 2.60, 5 Ho 2.76-2.90
Sb (0.3894, 0.3894, 0.0723)  8 Ho 3.10-3.28
Sb (0.6106, 0.6106, 0.9277)  8 Ho 3.10-3.28

# 5
Material: KNa2SiAg
Method: DFT, GGA-PBE
State: optimized geometry

Distance to the lowest polymorph of the same formula = 54 meV/atom
Density of states at the Fermi level = 1.99 states/eV/f.u.
ΔE_f (raw) = 0.1257 eV/atom
Space-group type = P4/mmm (123)

Lattice parameters (Å, degrees): 5.6922 5.6922 4.8001 90.00 90.00 90.00
Last column: nearest neighbours and their distance in Å.
Sites, in units of the cell vectors:
K (0.0000, 0.0000, 0.0000)  8 Na 3.72, 4 Si 4.03
Na (0.0000, 0.5000, 0.5000)  2 Ag 2.85
Na (0.5000, 0.0000, 0.5000)  2 Ag 2.85
Si (0.5000, 0.5000, 0.0000)  2 Ag 2.40
Ag (0.5000, 0.5000, 0.5000)  2 Si 2.40

# 6
Material: In2TcAs
Method: DFT, GGA-PBE
State: optimized geometry

Energy relative to the elements = 1.65 eV/f.u.
Density of states at the Fermi level = 4.23 states/eV/f.u.
Space-group type = I-4m2 (119)

Lattice parameters (Å, degrees): 5.2811 5.2811 5.2811 133.03 133.03 68.60
Last column: nearest neighbours and their distance in Å.
Sites, in units of the cell vectors:
In (0.0000, 0.0000, 0.0000)  4 As 2.98, 4 Tc 3.03, 4 In 3.03
In (0.7500, 0.2500, 0.5000)  4 Tc 2.98, 4 As 3.03, 4 In 3.03
Tc (0.2500, 0.7500, 0.5000)  8 In 2.98-3.03, 4 As 3.03
As (0.5000, 0.5000, 0.0000)  8 In 2.98-3.03, 4 Tc 3.03

# 7
Material: ScNi3Ir
Method: DFT, GGA-PBE
State: optimized geometry

Distance to the lowest polymorph of the same formula = 0 meV/atom
Energy relative to the elements = 1.24 eV/f.u.
Density of states at the Fermi level = 6.98 states/eV/f.u.
Space-group type = Cmcm (63)

Lattice parameters (Å, degrees): 6.7753 6.7753 4.4248 90.00 90.00 122.37
Last column: nearest neighbours and their distance in Å.
Sites, in units of the cell vectors:
Sc (0.1080, 0.8920, 0.7500)  2 Ni 2.51, 1 Ir 2.53
Sc (0.8920, 0.1080, 0.2500)  2 Ni 2.51, 1 Ir 2.53
Ni (0.1031, 0.5464, 0.2500)  3 Ni 2.29-2.51, 3 Ir 2.43-2.54, 1 Sc 2.51
Ni (0.4536, 0.8969, 0.2500)  3 Ni 2.29-2.51, 3 Ir 2.43-2.54, 1 Sc 2.51
Ni (0.5000, 0.5000, 0.0000)  2 Ni 2.21, 2 Ir 2.40
Ni (0.5000, 0.5000, 0.5000)  2 Ni 2.21, 2 Ir 2.40
Ni (0.5464, 0.1031, 0.7500)  3 Ni 2.29-2.51, 3 Ir 2.43-2.54, 1 Sc 2.51
Ni (0.8969, 0.4536, 0.7500)  3 Ni 2.29-2.51, 3 Ir 2.43-2.54, 1 Sc 2.51
Ir (0.3209, 0.6791, 0.7500)  8 Ni 2.40-2.54, 1 Sc 2.53
Ir (0.6791, 0.3209, 0.2500)  8 Ni 2.40-2.54, 1 Sc 2.53

# 8
Material: CaTb2Nd
Method: DFT, GGA-PBE
State: optimized geometry

Distance to the lowest polymorph of the same formula = 0 meV/atom
Energy relative to the elements = 0.23 eV/f.u.
Density of states at the Fermi level = 6.34 states/eV/f.u.
Space-group type = R3m (160)

Lattice parameters (Å, degrees): 12.2638 12.2638 12.2638 17.08 17.08 17.08
Last column: nearest neighbours and their distance in Å.
Sites, in units of the cell vectors:
Ca (0.0000, 0.0000, 0.0000)  6 Ca 3.64, 6 Tb 3.77-3.81
Tb (0.2470, 0.2470, 0.2470)  3 Nd 3.56, 6 Tb 3.64, 3 Ca 3.77
Tb (0.4208, 0.4208, 0.4208)  3 Nd 3.59, 6 Tb 3.64, 3 Ca 3.81
Nd (0.8343, 0.8343, 0.8343)  6 Tb 3.56-3.59, 6 Nd 3.64